[1]
# ErTmFeRh

ErTmFeRh after structural relaxation (GGA-PBE, the Alexandria database).

The space group is F-43m (No. 216) and the conventional cell measures 6.6789, 6.6789 and 6.6789 Å, with angles of 90.00, 90.00 and 90.00 degrees. Symmetry generates all atoms from Er at (0.0000, 0.0000, 0.0000), Tm at (0.0000, 0.0000, 0.5000), Fe at (0.2500, 0.2500, 0.2500) and Rh at (0.2500, 0.2500, 0.7500).

As for the total moment: 0.4 μB per formula unit. The value obtained for the total energy is -6.584 eV per atom. Its formation enthalpy at 0 K is -0.3719 eV per atom.

---

[2]
# SrBiO2

SrBiO2 after structural relaxation (GGA-PBE, the Alexandria database).

The space group is P2_1/c (No. 14) and the conventional cell measures 7.0251, 7.4135 and 6.8696 Å, with angles of 90.00, 116.21 and 90.00 degrees. Symmetry generates all atoms from Sr at (0.2497, 0.1371, 0.2500), Bi at (0.2504, 0.6815, 0.2498), O at (0.0194, 0.1393, 0.8386) and O at (0.4801, 0.1389, 0.6617).

The value obtained for the raw formation energy is -1.720 eV/atom. As for the total moment: 0.0 μB per formula unit. The value obtained for the total energy is -5.590 eV per atom.